1.
{"formula": "BaSbTe2Pd", "functional": "PBE-GGA", "state": "optimized geometry", "polymorph_energy_mev_per_atom": 1517, "spacegroup": "No. 123", "mass_density_kg_m3": 3798, "final_energy_ev_per_atom": -2.5712, "e_form_raw_ev_per_atom": 0.933, "lattice_angstrom": [[6.464, 0.000, 0.000], [0.000, 6.464, 0.000], [0.000, 0.000, 6.496]], "species": ["Te", "Te", "Ba", "Pd", "Sb"], "fractional_positions": [[0.000, 0.500, 0.000], [0.500, 0.000, 0.000], [0.000, 0.000, 0.000], [0.500, 0.500, 0.500], [0.000, 0.000, 0.500]]}

2.
{"formula": "BaSbTe2Pd", "functional": "PBE-GGA", "state": "optimized geometry", "polymorph_energy_mev_per_atom": 0, "spacegroup": "No. 123", "mass_density_kg_m3": 6368, "final_energy_ev_per_atom": -4.0885, "e_form_raw_ev_per_atom": -0.584, "lattice_angstrom": [[5.651, 0.000, 0.000], [0.000, 5.651, 0.000], [0.000, 0.000, 5.069]], "species": ["Te", "Te", "Pd", "Sb", "Ba"], "fractional_positions": [[0.500, 0.000, 0.000], [0.000, 0.500, 0.000], [0.000, 0.000, 0.000], [0.000, 0.000, 0.500], [0.500, 0.500, 0.500]]}

3.
{"formula": "Ba2TlSbPd", "functional": "PBE-GGA", "state": "optimized geometry", "spacegroup": "No. 123", "mass_density_kg_m3": 6208, "final_energy_ev_per_atom": -3.6799, "e_form_raw_ev_per_atom": -0.575, "lattice_angstrom": [[-1.916, 4.113, 3.917], [1.563, -3.592, 4.536], [4.796, 2.171, 0.067]], "species": ["Ba", "Ba", "Pd", "Sb", "Tl"], "fractional_positions": [[0.000, 0.500, 0.000], [0.500, 0.000, 0.000], [0.000, 0.000, 0.000], [0.500, 0.500, 0.500], [0.000, 0.000, 0.500]]}

4.
{"formula": "Ba2TlSb4Pd3", "functional": "PBE-GGA", "state": "optimized geometry", "spacegroup": "No. 115", "mass_density_kg_m3": 7955, "final_energy_ev_per_atom": -4.4875, "e_form_raw_ev_per_atom": -0.659, "lattice_angstrom": [[-3.565, -2.909, -1.681], [3.322, -2.687, -2.397], [1.144, -6.581, 8.963]], "species": ["Ba", "Ba", "Sb", "Sb", "Sb", "Sb", "Pd", "Pd", "Pd", "Tl"], "fractional_positions": [[0.000, 0.500, 0.756], [0.500, 0.000, 0.244], [0.500, 0.000, 0.646], [0.000, 0.000, 0.000], [0.000, 0.500, 0.354], [0.500, 0.500, 0.000], [0.000, 0.000, 0.500], [0.000, 0.500, 0.113], [0.500, 0.000, 0.887], [0.500, 0.500, 0.500]]}

5.
{"formula": "Ba2TmSb3Pd4", "functional": "PBE-GGA", "state": "optimized geometry", "spacegroup": "No. 115", "mass_density_kg_m3": 8117, "final_energy_ev_per_atom": -4.9992, "e_form_raw_ev_per_atom": -0.854, "lattice_angstrom": [[4.707, 0.000, 0.000], [0.000, 4.707, 0.000], [0.000, 0.000, 11.397]], "species": ["Sb", "Sb", "Sb", "Pd", "Pd", "Pd", "Pd", "Ba", "Ba", "Tm"], "fractional_positions": [[0.000, 0.500, 0.123], [0.000, 0.000, 0.500], [0.500, 0.000, 0.877], [0.500, 0.500, 0.000], [0.000, 0.000, 0.000], [0.500, 0.000, 0.637], [0.000, 0.500, 0.363], [0.500, 0.000, 0.232], [0.000, 0.500, 0.768], [0.500, 0.500, 0.500]]}

6.
{"formula": "BaUSb2Pd2", "functional": "PBE-GGA", "state": "optimized geometry", "spacegroup": "No. 164", "mass_density_kg_m3": 8651, "final_energy_ev_per_atom": -6.0245, "e_form_raw_ev_per_atom": -0.718, "lattice_angstrom": [[-2.686, 3.631, -1.116], [-1.918, -3.863, 1.745], [0.920, 3.102, 7.878]], "species": ["Pd", "Pd", "U", "Sb", "Sb", "Ba"], "fractional_positions": [[0.333, 0.667, 0.322], [0.667, 0.333, 0.678], [0.000, 0.000, 0.500], [0.667, 0.333, 0.278], [0.333, 0.667, 0.722], [0.000, 0.000, 0.000]]}

7.
{"formula": "Ba2YSb4Pd3", "functional": "PBE-GGA", "state": "optimized geometry", "spacegroup": "No. 115", "mass_density_kg_m3": 7170, "final_energy_ev_per_atom": -5.1081, "e_form_raw_ev_per_atom": -0.870, "lattice_angstrom": [[-0.612, 4.305, -1.932], [-3.438, -1.741, -2.791], [-8.129, 2.607, 8.385]], "species": ["Sb", "Sb", "Sb", "Sb", "Pd", "Pd", "Pd", "Ba", "Ba", "Y"], "fractional_positions": [[0.000, 0.500, 0.350], [0.000, 0.000, 0.000], [0.500, 0.000, 0.650], [0.500, 0.500, 0.000], [0.500, 0.000, 0.884], [0.000, 0.000, 0.500], [0.000, 0.500, 0.116], [0.500, 0.000, 0.235], [0.000, 0.500, 0.765], [0.500, 0.500, 0.500]]}

8.
{"formula": "Ba2ZnSb4Pd3", "functional": "PBE-GGA", "state": "optimized geometry", "spacegroup": "No. 115", "mass_density_kg_m3": 7530, "final_energy_ev_per_atom": -4.4547, "e_form_raw_ev_per_atom": -0.736, "lattice_angstrom": [[4.772, 0.000, 0.000], [0.000, 4.772, 0.000], [0.000, 0.000, 11.099]], "species": ["Sb", "Sb", "Sb", "Sb", "Pd", "Pd", "Pd", "Zn", "Ba", "Ba"], "fractional_positions": [[0.000, 0.500, 0.369], [0.500, 0.500, 0.000], [0.000, 0.000, 0.000], [0.500, 0.000, 0.631], [0.000, 0.000, 0.500], [0.000, 0.500, 0.123], [0.500, 0.000, 0.877], [0.500, 0.500, 0.500], [0.000, 0.500, 0.747], [0.500, 0.000, 0.253]]}

9.
{"formula": "Ba2ZnSbPd6", "functional": "PBE-GGA", "state": "optimized geometry", "spacegroup": "No. 12", "mass_density_kg_m3": 7757, "final_energy_ev_per_atom": -4.5938, "e_form_raw_ev_per_atom": -0.554, "lattice_angstrom": [[-2.106, 3.691, 3.949], [-6.492, 1.998, -5.330], [-6.859, -0.626, 1.187]], "species": ["Pd", "Pd", "Pd", "Pd", "Pd", "Pd", "Ba", "Ba", "Zn", "Sb"], "fractional_positions": [[0.784, 0.768, 0.955], [0.261, 0.768, 0.955], [0.739, 0.232, 0.045], [0.754, 0.894, 0.492], [0.246, 0.106, 0.508], [0.216, 0.232, 0.045], [0.740, 0.283, 0.519], [0.260, 0.717, 0.481], [0.000, 0.000, 0.000], [0.500, 0.500, 0.000]]}

10.
{"formula": "Ba2ZrSbPd", "functional": "PBE-GGA", "state": "optimized geometry", "spacegroup": "No. 123", "mass_density_kg_m3": 4193, "final_energy_ev_per_atom": -4.0401, "e_form_raw_ev_per_atom": 0.302, "lattice_angstrom": [[6.572, 0.000, 0.000], [0.000, 5.447, 0.000], [0.000, 0.000, 6.572]], "species": ["Zr", "Ba", "Ba", "Sb", "Pd"], "fractional_positions": [[0.000, 0.500, 0.000], [0.500, 0.000, 0.000], [0.000, 0.000, 0.500], [0.000, 0.000, 0.000], [0.500, 0.500, 0.500]]}

11.
{"formula": "BaSc3Pd", "functional": "PBE-GGA", "state": "optimized geometry", "polymorph_energy_mev_per_atom": 1398, "formation_energy_mev_per_atom": 1273, "spacegroup": "No. 221", "mass_density_kg_m3": 4503, "final_energy_ev_per_atom": -3.9492, "lattice_angstrom": [[5.188, 0.000, 0.000], [0.000, 5.188, 0.000], [0.000, 0.000, 5.188]], "species": ["Ba", "Sc", "Sc", "Sc", "Pd"], "fractional_positions": [[0.000, 0.000, 0.000], [0.000, 0.000, 0.500], [0.500, 0.000, 0.000], [0.000, 0.500, 0.000], [0.500, 0.500, 0.500]]}

12.
{"formula": "BaSc2Pd", "functional": "PBE-GGA", "state": "optimized geometry", "polymorph_energy_mev_per_atom": 361, "formation_energy_mev_per_atom": 338, "spacegroup": "No. 166", "mass_density_kg_m3": 5115, "final_energy_ev_per_atom": -4.6066, "lattice_angstrom": [[1.932, 0.000, 11.165], [-0.966, 1.673, 11.165], [-0.966, -1.673, 11.165]], "species": ["Ba", "Sc", "Sc", "Pd"], "fractional_positions": [[0.500, 0.500, 0.500], [0.073, 0.073, 0.073], [0.927, 0.927, 0.927], [0.000, 0.000, 0.000]]}

Repeat the eleventh record exactly.
{"formula": "BaSc3Pd", "functional": "PBE-GGA", "state": "optimized geometry", "polymorph_energy_mev_per_atom": 1398, "formation_energy_mev_per_atom": 1273, "spacegroup": "No. 221", "mass_density_kg_m3": 4503, "final_energy_ev_per_atom": -3.9492, "lattice_angstrom": [[5.188, 0.000, 0.000], [0.000, 5.188, 0.000], [0.000, 0.000, 5.188]], "species": ["Ba", "Sc", "Sc", "Sc", "Pd"], "fractional_positions": [[0.000, 0.000, 0.000], [0.000, 0.000, 0.500], [0.500, 0.000, 0.000], [0.000, 0.500, 0.000], [0.500, 0.500, 0.500]]}